(1)
Below is a geometry-optimized DyScCu4 structure, with properties calculated at the GGA-PBE level.

Cell lengths 3.304, 3.626, 9.102 Å; angles 90.00, 90.01, 90.01 degrees
Atoms (fractional coordinates):
Cu1 0.501 0.997 0.744
Cu2 0.001 0.497 0.731
Sc1 0.001 0.998 0.498
Dy1 0.501 0.498 0.998
Cu3 0.501 0.997 0.253
Cu4 0.001 0.497 0.265

Results
Energy relative to the elements in meV/atom: 47
ΔE to the lowest computed polymorph in meV per atom: 266
Magnetization in μB/f.u.: 0.0
Electronic total energy in eV for the cell shown: -27.0

(2)
Below is a geometry-optimized DyScCu4 structure, with properties calculated at the GGA-PBE level.

Cell lengths 4.196, 5.386, 5.386 Å; angles 86.45, 67.07, 67.07 degrees
Atoms (fractional coordinates):
Cu1 0.765 0.570 0.900
Cu2 0.765 0.900 0.570
Dy1 0.000 0.000 0.000
Cu3 0.235 0.100 0.430
Sc1 0.500 0.500 0.500
Cu4 0.235 0.430 0.100

Results
Energy relative to the elements in meV/atom: -219
ΔE to the lowest computed polymorph in meV per atom: 0
Magnetization in μB/f.u.: 0.0
Electronic total energy in eV for the cell shown: -28.6

(3)
Below is a geometry-optimized DySc2Cu structure, with properties calculated at the GGA-PBE level.

Cell lengths 6.045, 6.378, 9.516 Å; angles 90.00, 90.00, 90.00 degrees
Atoms (fractional coordinates):
Sc1 0.816 0.322 0.951
Cu1 0.577 0.097 0.750
Cu2 0.923 0.597 0.750
Cu3 0.077 0.403 0.250
Sc2 0.684 0.822 0.549
Dy1 0.879 0.000 0.250
Dy2 0.379 0.500 0.750
Sc3 0.816 0.322 0.549
Sc4 0.316 0.178 0.451
Dy3 0.621 0.500 0.250
Sc5 0.184 0.678 0.049
Sc6 0.316 0.178 0.049
Sc7 0.184 0.678 0.451
Cu4 0.423 0.903 0.250
Dy4 0.121 0.000 0.750
Sc8 0.684 0.822 0.951

Results
Energy relative to the elements in meV/atom: -111
ΔE to the lowest computed polymorph in meV per atom: 0
Magnetization in μB/f.u.: 0.0
Electronic total energy in eV for the cell shown: -87.2

(4)
Below is a geometry-optimized Dy5ScCu4 structure, with properties calculated at the GGA-PBE level.

Cell lengths 3.456, 3.456, 18.667 Å; angles 90.00, 90.00, 90.00 degrees
Atoms (fractional coordinates):
Cu1 0.000 0.000 0.219
Dy1 0.500 0.500 0.873
Cu2 0.000 0.000 0.593
Dy2 0.500 0.500 0.500
Sc1 0.000 0.000 0.000
Cu3 0.000 0.000 0.781
Dy3 0.500 0.500 0.127
Dy4 0.500 0.500 0.688
Dy5 0.500 0.500 0.312
Cu4 0.000 0.000 0.407

Results
Energy relative to the elements in meV/atom: -187
Magnetization in μB/f.u.: 0.0
Electronic total energy in eV for the cell shown: -47.6